First-principles (PBE) data for a relaxed structure of La5PmPrSm2, as listed in Alexandria via LeMat-Bulk.

The structure belongs to space group I4/mcm (No. 140); the cell edges are 8.9627, 8.9627 and 16.1476 Å and the angles 90.00°, 90.00° and 90.00°. The inequivalent atoms are La at (0.0000, 0.0000, 0.0000), La at (0.1980, 0.3020, 0.1380), Pm at (0.0000, 0.0000, 0.2500), Pr at (0.0000, 0.5000, 0.2500) and Sm at (0.1192, 0.3808, 0.5000).

The density is 6.560 g/cm3. The value obtained for the magnetization is 0.000 μB/atom. The calculation puts the volume at 1297 Å³ per cell. The calculation puts the formation energy from the elements at 239 meV per atom.


First-principles (PBE) data for a relaxed structure of La2PmPr4Sm2, as listed in Alexandria via LeMat-Bulk.

The structure belongs to space group C2/m (No. 12); the cell edges are 19.3643, 3.7295 and 9.9103 Å and the angles 90.00°, 115.74° and 90.00°. The inequivalent atoms are La at (0.1664, 0.0000, 0.4986), Pm at (0.0000, 0.5000, 0.5000), Pr at (0.0182, 0.0000, 0.8340), Pr at (0.1852, 0.5000, 0.8326) and Sm at (0.1487, 0.5000, 0.1678).

The density is 6.631 g/cm3. The value obtained for the magnetization is 0.000 μB/atom. The calculation puts the volume at 645 Å³ per cell. The calculation puts the formation energy from the elements at 8 meV per atom.


First-principles (PBE) data for a relaxed structure of LaPm3Pr2Sm6, as listed in Alexandria via LeMat-Bulk.

The structure belongs to space group C2/m (No. 12); the cell edges are 6.3492, 11.0018 and 12.1179 Å and the angles 90.00°, 100.11° and 90.00°. The inequivalent atoms are La at (0.0000, 0.0000, 0.0000), Pm at (0.0000, 0.1669, 0.5000), Pm at (0.0000, 0.5000, 0.5000), Pr at (0.0000, 0.3335, 0.0000), Sm at (0.2492, 0.3332, 0.7480) and Sm at (0.2496, 0.0000, 0.7477).

The density is 7.006 g/cm3. The value obtained for the magnetization is 0.000 μB/atom. The calculation puts the volume at 833 Å³ per cell. The calculation puts the formation energy from the elements at 14 meV per atom.